Entry 1:
# TaNiTeOs2

A relaxed structure of TaNiTeOs2 (GGA-PBE, Alexandria).

Cell: 4.759 4.992 4.759 Å, 90.00 90.00 90.00°
Last column: magnetic moment on the atom in μB.
Positions (direct):
Ni  0.500  0.500  0.500  0.73
Ta  0.000  0.500  0.000  -0.04
Os  0.500  0.000  0.000  0.28
Os  0.000  0.000  0.500  0.28
Te  0.000  0.000  0.000  0.01

Output
- uncorrected energy (Ry per atom) = -0.456
- DOS at the Fermi energy (states/eV/f.u.) = 7.339
- raw formation energy (eV per atom) = 2.44



Entry 2:
# Ta2VNiOs

A relaxed structure of Ta2VNiOs (GGA-PBE, Alexandria).

Cell: 4.791 4.480 4.791 Å, 90.00 90.00 90.00°
Positions (direct):
Ta  0.000  0.000  0.500
Ta  0.500  0.000  0.000
Ni  0.000  0.500  0.000
Os  0.000  0.000  0.000
V  0.500  0.500  0.500

Output
- uncorrected energy (Ry per atom) = -0.626
- formation energy (meV per atom) = 1456
- DOS at the Fermi energy (states/eV/f.u.) = 8.270



Entry 3:
# TaVNiOs

A relaxed structure of TaVNiOs (GGA-PBE, Alexandria).

Cell: 4.341 4.341 4.341 Å, 60.00 60.00 60.00°
Last column: magnetic moment on the atom in μB.
Positions (direct):
Ta  0.000  0.000  0.000  0.01
Os  0.750  0.750  0.750  -0.06
V  0.500  0.500  0.500  0.45
Ni  0.250  0.250  0.250  0.07

Output
- uncorrected energy (Ry per atom) = -0.710
- formation energy (meV per atom) = -158
- DOS at the Fermi energy (states/eV/f.u.) = 3.996



Entry 4:
# TaZnNiOs

A relaxed structure of TaZnNiOs (GGA-PBE, Alexandria).

Cell: 4.342 4.342 4.342 Å, 60.00 60.00 60.00°
Positions (direct):
Ni  0.750  0.750  0.750
Os  0.250  0.250  0.250
Ta  0.500  0.500  0.500
Zn  0.000  0.000  0.000

Output
- uncorrected energy (Ry per atom) = -0.566
- formation energy (meV per atom) = -170
- DOS at the Fermi energy (states/eV/f.u.) = 3.333



Entry 5:
# ZrTaNiOs

A relaxed structure of ZrTaNiOs (GGA-PBE, Alexandria).

Cell: 4.530 4.530 4.530 Å, 60.00 60.00 60.00°
Positions (direct):
Os  0.250  0.250  0.250
Ni  0.750  0.750  0.750
Zr  0.500  0.500  0.500
Ta  0.000  0.000  0.000

Output
- uncorrected energy (Ry per atom) = -0.710
- formation energy (meV per atom) = -310
- DOS at the Fermi energy (states/eV/f.u.) = 3.481



Entry 6:
# Tb7Ni2Os2

A relaxed structure of Tb7Ni2Os2 (GGA-PBE, Alexandria).

Cell: 6.660 6.834 6.660 Å, 90.00 101.95 90.00°
Positions (direct):
Os  0.721  0.000  0.279
Os  0.279  0.000  0.721
Tb  0.500  0.746  0.500
Tb  0.500  0.260  0.000
Tb  0.500  0.254  0.500
Tb  0.000  0.260  0.500
Tb  0.000  0.000  0.000
Tb  0.000  0.740  0.500
Tb  0.500  0.740  0.000
Ni  0.772  0.500  0.772
Ni  0.228  0.500  0.228

Output
- uncorrected energy (Ry per atom) = -0.448
- formation energy (meV per atom) = -50
- DOS at the Fermi energy (states/eV/f.u.) = 5.572



Number 1: size of the total moment 1.20 μB per cell. Number 2: size of the total moment 0.01 μB per cell. Number 3: size of the total moment 0.52 μB per cell. Number 4: size of the total moment 0.00 μB per cell. Number 5: size of the total moment 0.00 μB per cell. Number 6: size of the total moment 0.00 μB per cell.